# V2CdSbO8

Crystalline V2CdSbO8 at its relaxed geometry (PBE with a Hubbard U, the Alexandria database).

- electronic total energy (eV/atom) = -6.469
- spin magnetization (μB/atom) = 0.079
- crystal system = trigonal
- symmetry = P-3m1

```
V2CdSbO8
1.0
5.762 0.000 0.000
-2.881 4.990 0.000
0.000 0.000 6.324
O Sb V Cd
8 1 2 1
Direct
0.159 0.840 0.715 O
0.841 0.160 0.285 O
0.319 0.159 0.285 O
0.840 0.681 0.285 O
0.667 0.333 0.948 O
0.681 0.841 0.715 O
0.160 0.319 0.715 O
0.333 0.667 0.052 O
0.000 0.000 0.500 Sb
0.667 0.333 0.206 V
0.333 0.667 0.794 V
0.000 0.000 0.000 Cd
```